[1]
PrPF after structural relaxation, computed with PBE.

Geometry as extended XYZ:
```
3
Lattice="4.085 0.000 0.000 -2.043 3.538 0.000 0.000 0.000 4.273" Properties=species:S:1:pos:R:3 pbc="T T T"
Pr 0.000 0.000 0.000
P 2.043 1.179 2.136
F 0.000 2.359 0.000
```

Its magnetization is 0.00 μB/atom. As for the crystal system: hexagonal. The calculation puts the uncorrected formation energy at -2018 meV per atom. As for the calculated density: 5.1 Mg/m³.


[2]
ZrSb2IBr after structural relaxation, computed with PBE.

Geometry as extended XYZ:
```
5
Lattice="5.634 0.000 0.000 0.000 5.634 0.000 0.000 0.000 5.579" Properties=species:S:1:pos:R:3 pbc="T T T"
Zr 0.000 0.000 0.000
Sb 0.000 2.817 0.000
Sb 2.817 0.000 0.000
I 0.000 0.000 2.789
Br 2.817 2.817 2.789
```

Its magnetization is 0.00 μB/atom. As for the crystal system: tetragonal. The calculation puts the uncorrected formation energy at 9 meV per atom. As for the calculated density: 5.1 Mg/m³.


Look up the magnetization of the second one.
0.00 μB/atom


Number 1 is which compound?
PrPF


Number 1 is which compound?
PrPF